Here is an optimized crystal structure of KBeAs2 from Alexandria. Energies are from PBE-GGA.

Volume ... 20.8 Å³ per atom
Energy of formation ... 58.7 kJ/mol of atoms

a b c (Å): 4.3309 4.3309 8.8739
angles (deg): 90.00 90.00 90.00
Last column: nearest neighbours and their distance in Å.
Space group I-4m2 (No. 119)
Asymmetric unit:
K (0.0000, 0.0000, 0.0000) (multiplicity 2)  8 As 3.06-3.10, 4 Be 3.10
Be (0.0000, 0.5000, 0.2500) (multiplicity 2)  8 As 3.06-3.10, 4 K 3.10
As (0.0000, 0.0000, 0.5000) (multiplicity 2)  4 K 3.06, 4 As 3.10, 4 Be 3.10
As (0.0000, 0.5000, 0.7500) (multiplicity 2)  4 Be 3.06, 4 As 3.10, 4 K 3.10